First-principles (PBE) data for an optimized crystal structure of SnHRh3, as listed in the Alexandria database.

## Properties
For the density of states at the Fermi level, the calculation gives 8.38 states/eV per cell. The excess energy over the best structure of this formula in the dataset comes out at 2.750 kcal/mol of atoms. As for the density: 10.75 Mg/m³.

Structure (POSCAR):
```
SnHRh3
1.0
6.1037 0.0002 0.0031
-0.0001 4.1656 -0.0003
2.1977 0.0003 5.2059
Rh Sn H
6 2 2
Direct
0.9963 0.7412 0.4649 Rh
0.1907 0.2412 0.1159 Rh
0.9454 0.7412 0.0091 Rh
0.7045 0.2412 0.8327 Rh
0.4270 0.7413 0.7010 Rh
0.6832 0.2413 0.3271 Rh
0.4726 0.7413 0.1628 Sn
0.1747 0.2413 0.6440 Sn
0.7022 0.9823 0.5775 H
0.7022 0.5002 0.5776 H
```